Record 1
TbTmIr | PBE | relaxed

Properties
- DOS at the Fermi energy: 4.55 states/eV/cell
- Theoretical density: 11172 kg/m³
- Space group: P4_2/mmc
- Energy above the lowest structure with this stoichiometry: 0.0000 eV per atom

CIF file:
```
data_TbTmIr
_chemical_formula_sum 'Tb2 Tm2 Ir2'
_cell_length_a 4.786
_cell_length_b 4.783
_cell_length_c 6.755
_cell_angle_alpha 90.05
_cell_angle_beta 90.04
_cell_angle_gamma 90.01
_space_group_name_H-M_alt 'P 1'
_space_group_IT_number 1
loop_
_space_group_symop_operation_xyz
'x,y,z'
loop_
_atom_site_label
_atom_site_fract_x
_atom_site_fract_y
_atom_site_fract_z
Tb1 0.500 0.000 0.250
Tb2 0.500 0.000 0.750
Ir1 0.000 0.000 0.000
Ir2 0.500 0.500 0.500
Tm1 0.000 0.500 0.250
Tm2 0.000 0.500 0.750
```



Record 2
TbTm3Ir8 | PBE | relaxed

Properties
- DOS at the Fermi energy: 9.16 states/eV/cell
- Theoretical density: 16996 kg/m³
- Space group: R3m
- Energy above the lowest structure with this stoichiometry: 0.0075 eV per atom

CIF file:
```
data_TbTm3Ir8
_chemical_formula_sum 'Tb1 Tm3 Ir8'
_cell_length_a 5.341
_cell_length_b 5.341
_cell_length_c 9.243
_cell_angle_alpha 73.21
_cell_angle_beta 73.21
_cell_angle_gamma 60.00
_space_group_name_H-M_alt 'P 1'
_space_group_IT_number 1
loop_
_space_group_symop_operation_xyz
'x,y,z'
loop_
_atom_site_label
_atom_site_fract_x
_atom_site_fract_y
_atom_site_fract_z
Tb1 0.875 0.875 0.375
Tm1 0.375 0.375 0.875
Tm2 0.000 0.000 0.999
Tm3 0.500 0.500 0.501
Ir1 0.938 0.438 0.186
Ir2 0.437 0.937 0.689
Ir3 0.438 0.438 0.186
Ir4 0.937 0.937 0.689
Ir5 0.187 0.187 0.438
Ir6 0.688 0.688 0.937
Ir7 0.438 0.938 0.186
Ir8 0.937 0.437 0.689
```



Record 3
Tb8TmIr6 | PBE | relaxed

Properties
- DOS at the Fermi energy: 9.57 states/eV/cell
- Calculated total energy: -7.09 eV/atom
- Theoretical density: 12019 kg/m³
- Space group: R-3

CIF file:
```
data_Tb8TmIr6
_chemical_formula_sum 'Tb8 Tm1 Ir6'
_cell_length_a 7.692
_cell_length_b 7.692
_cell_length_c 7.692
_cell_angle_alpha 65.20
_cell_angle_beta 65.20
_cell_angle_gamma 65.20
_space_group_name_H-M_alt 'P 1'
_space_group_IT_number 1
loop_
_space_group_symop_operation_xyz
'x,y,z'
loop_
_atom_site_label
_atom_site_fract_x
_atom_site_fract_y
_atom_site_fract_z
Tb1 0.219 0.559 0.886
Tb2 0.114 0.781 0.441
Tb3 0.441 0.114 0.781
Tb4 0.668 0.668 0.668
Tb5 0.332 0.332 0.332
Tb6 0.559 0.886 0.219
Tb7 0.886 0.219 0.559
Tb8 0.781 0.441 0.114
Tm1 0.000 0.000 0.000
Ir1 0.056 0.389 0.724
Ir2 0.276 0.944 0.611
Ir3 0.611 0.276 0.944
Ir4 0.389 0.724 0.056
Ir5 0.724 0.056 0.389
Ir6 0.944 0.611 0.276
```



Record 4
Tb3TmIr2 | PBE | relaxed

Properties
- DOS at the Fermi energy: 9.89 states/eV/cell
- Calculated total energy: -6.66 eV/atom
- Theoretical density: 10560 kg/m³
- Space group: Ibam

CIF file:
```
data_Tb3TmIr2
_chemical_formula_sum 'Tb6 Tm2 Ir4'
_cell_length_a 6.751
_cell_length_b 7.078
_cell_length_c 8.360
_cell_angle_alpha 115.05
_cell_angle_beta 113.81
_cell_angle_gamma 90.00
_space_group_name_H-M_alt 'P 1'
_space_group_IT_number 1
loop_
_space_group_symop_operation_xyz
'x,y,z'
loop_
_atom_site_label
_atom_site_fract_x
_atom_site_fract_y
_atom_site_fract_z
Tb1 0.500 0.250 0.000
Tb2 0.500 0.750 0.000
Tb3 0.767 0.017 0.533
Tb4 0.233 0.483 0.467
Tb5 0.233 0.983 0.467
Tb6 0.767 0.517 0.533
Tm1 0.000 0.500 0.000
Tm2 0.000 0.000 0.000
Ir1 0.577 0.363 0.725
Ir2 0.852 0.137 0.275
Ir3 0.148 0.863 0.725
Ir4 0.423 0.637 0.275
```



Record 5
Tb3TmIr4 | PBE | relaxed

Properties
- DOS at the Fermi energy: 4.43 states/eV/cell
- Calculated total energy: -7.53 eV/atom
- Theoretical density: 14590 kg/m³
- Space group: Pmmm

CIF file:
```
data_Tb3TmIr4
_chemical_formula_sum 'Tb3 Tm1 Ir4'
_cell_length_a 3.317
_cell_length_b 4.926
_cell_length_c 9.854
_cell_angle_alpha 90.00
_cell_angle_beta 90.00
_cell_angle_gamma 90.00
_space_group_name_H-M_alt 'P 1'
_space_group_IT_number 1
loop_
_space_group_symop_operation_xyz
'x,y,z'
loop_
_atom_site_label
_atom_site_fract_x
_atom_site_fract_y
_atom_site_fract_z
Tm1 0.500 0.500 0.000
Tb1 0.500 0.000 0.248
Tb2 0.500 0.500 0.500
Tb3 0.500 0.000 0.752
Ir1 0.000 0.000 0.500
Ir2 0.000 0.500 0.754
Ir3 0.000 0.000 0.000
Ir4 0.000 0.500 0.246
```



Record 6
Tb2TmIr | PBE | relaxed

Properties
- DOS at the Fermi energy: 4.68 states/eV/cell
- Theoretical density: 9482 kg/m³
- Space group: R-3m
- Energy above the lowest structure with this stoichiometry: 0.3069 eV per atom

CIF file:
```
data_Tb2TmIr
_chemical_formula_sum 'Tb2 Tm1 Ir1'
_cell_length_a 3.840
_cell_length_b 3.840
_cell_length_c 9.571
_cell_angle_alpha 78.43
_cell_angle_beta 78.43
_cell_angle_gamma 60.00
_space_group_name_H-M_alt 'P 1'
_space_group_IT_number 1
loop_
_space_group_symop_operation_xyz
'x,y,z'
loop_
_atom_site_label
_atom_site_fract_x
_atom_site_fract_y
_atom_site_fract_z
Tb1 0.274 0.274 0.177
Tb2 0.726 0.726 0.823
Ir1 0.000 0.000 0.000
Tm1 0.500 0.500 0.500
```



Record 7
TbTm3Ir8 | PBE | relaxed

Properties
- DOS at the Fermi energy: 4.55 states/eV/cell
- Theoretical density: 17062 kg/m³
- Space group: P3m1
- Energy above the lowest structure with this stoichiometry: 0.0000 eV per atom

CIF file:
```
data_TbTm3Ir8
_chemical_formula_sum 'Tb1 Tm3 Ir8'
_cell_length_a 5.341
_cell_length_b 5.341
_cell_length_c 8.680
_cell_angle_alpha 90.00
_cell_angle_beta 90.00
_cell_angle_gamma 120.00
_space_group_name_H-M_alt 'P 1'
_space_group_IT_number 1
loop_
_space_group_symop_operation_xyz
'x,y,z'
loop_
_atom_site_label
_atom_site_fract_x
_atom_site_fract_y
_atom_site_fract_z
Tb1 0.000 0.000 0.568
Tm1 0.667 0.333 0.432
Tm2 0.667 0.333 0.066
Tm3 0.000 0.000 0.934
Ir1 0.333 0.667 0.500
Ir2 0.333 0.667 0.000
Ir3 0.504 0.007 0.751
Ir4 0.504 0.496 0.751
Ir5 0.993 0.496 0.751
Ir6 0.163 0.326 0.249
Ir7 0.163 0.837 0.249
Ir8 0.674 0.837 0.249
```



Record 8
Tb3TmIr | PBE | relaxed

Properties
- DOS at the Fermi energy: 11.75 states/eV/cell
- Theoretical density: 9051 kg/m³
- Space group: Pmn2_1
- Energy above the lowest structure with this stoichiometry: 0.0000 eV per atom

CIF file:
```
data_Tb3TmIr
_chemical_formula_sum 'Tb6 Tm2 Ir2'
_cell_length_a 6.173
_cell_length_b 6.523
_cell_length_c 7.635
_cell_angle_alpha 90.00
_cell_angle_beta 90.00
_cell_angle_gamma 90.00
_space_group_name_H-M_alt 'P 1'
_space_group_IT_number 1
loop_
_space_group_symop_operation_xyz
'x,y,z'
loop_
_atom_site_label
_atom_site_fract_x
_atom_site_fract_y
_atom_site_fract_z
Tb1 0.423 0.329 0.201
Tb2 0.425 0.865 0.950
Tb3 0.925 0.487 0.450
Tb4 0.923 0.024 0.701
Tb5 0.925 0.487 0.951
Tb6 0.425 0.865 0.451
Tm1 0.430 0.332 0.701
Tm2 0.930 0.021 0.201
Ir1 0.176 0.673 0.701
Ir2 0.676 0.680 0.201
```